The following is a PBE calculation of crystalline FeHgTe2 at its relaxed geometry, from Alexandria.

Summary:
* energy: -3.786 eV/atom
* uncorrected formation energy: -0.024 eV per atom
* DOS at the Fermi energy: 5.8 states/eV per cell

```
data_FeHgTe2
_chemical_formula_sum 'Fe2 Hg2 Te4'
_symmetry_space_group_name_H-M 'C 1 2/m 1'
_symmetry_Int_Tables_number 12
_symmetry_space_group_name_Hall '-C 2y'
_cell_length_a 6.599
_cell_length_b 3.634
_cell_length_c 8.999
_cell_angle_alpha 90.00
_cell_angle_beta 101.11
_cell_angle_gamma 90.00
loop_
_atom_site_label
_atom_site_type_symbol
_atom_site_fract_x
_atom_site_fract_y
_atom_site_fract_z
_atom_site_occupancy
Fe1 Fe 0.000 0.000 0.000 1
Hg1 Hg 0.000 0.500 0.500 1
Te1 Te 0.216 0.500 0.164 1
```